The following is a DFT calculation (GGA-PBE) of a relaxed structure of SrTl2P2O6.

Values from the calculation:
Theoretical density ... 5.72 g cm⁻³
E ... -6.342 eV/atom
Formation energy without anion corrections ... -22.78 eV per formula unit

Geometry as CIF:
```
data_SrTl2P2O6
_chemical_formula_sum 'Sr2 Tl4 P4 O12'
_symmetry_space_group_name_H-M 'C 1 2/m 1'
_symmetry_Int_Tables_number 12
_cell_length_a 10.517
_cell_length_b 6.055
_cell_length_c 7.042
_cell_angle_alpha 90.00
_cell_angle_beta 122.06
_cell_angle_gamma 90.00
loop_
_symmetry_equiv_pos_as_xyz
'x,y,z'
'-x,-y,-z'
'-x,y,-z'
'x,-y,z'
'x+1/2,y+1/2,z'
'-x+1/2,-y+1/2,-z'
'-x+1/2,y+1/2,-z'
'x+1/2,-y+1/2,z'
loop_
_atom_site_label
_atom_site_fract_x
_atom_site_fract_y
_atom_site_fract_z
Sr1 0.000 0.000 0.000
Tl1 0.217 0.000 0.684
P1 0.047 0.500 0.683
O1 0.013 0.288 0.266
O2 0.220 0.500 0.800
```


The following is a DFT calculation (GGA-PBE) of a relaxed structure of ZrCu2Te.

Values from the calculation:
Theoretical density ... 7.43 g cm⁻³
E ... -4.691 eV/atom
Formation energy without anion corrections ... 1.12 eV per formula unit

Geometry as CIF:
```
data_ZrCu2Te
_chemical_formula_sum 'Zr3 Cu6 Te3'
_symmetry_space_group_name_H-M 'R -3 m'
_symmetry_Int_Tables_number 166
_symmetry_space_group_name_Hall '-R 3 2"'
_cell_length_a 3.1261
_cell_length_b 3.1261
_cell_length_c 27.4120
_cell_angle_alpha 90.00
_cell_angle_beta 90.00
_cell_angle_gamma 120.00
loop_
_atom_site_label
_atom_site_fract_x
_atom_site_fract_y
_atom_site_fract_z
Zr1 0.0000 0.0000 0.0000
Cu1 0.0000 0.0000 0.2521
Te1 0.0000 0.0000 0.5000
```


The following is a DFT calculation (GGA-PBE) of a relaxed structure of CuTe2Au.

Values from the calculation:
Theoretical density ... 8.47 g cm⁻³
E ... -3.292 eV/atom
Formation energy without anion corrections ... 0.49 eV per formula unit

Geometry as CIF:
```
data_CuTe2Au
_chemical_formula_sum 'Cu2 Te4 Au2'
_symmetry_space_group_name_H-M 'C m m 2'
_symmetry_Int_Tables_number 35
_cell_length_a 4.400
_cell_length_b 5.889
_cell_length_c 7.807
_cell_angle_alpha 90.00
_cell_angle_beta 90.00
_cell_angle_gamma 90.00
loop_
_symmetry_equiv_pos_as_xyz
'x,y,z'
'-x,-y,z'
'-x,y,z'
'x,-y,z'
'x+1/2,y+1/2,z'
'-x+1/2,-y+1/2,z'
'-x+1/2,y+1/2,z'
'x+1/2,-y+1/2,z'
loop_
_atom_site_label
_atom_site_fract_x
_atom_site_fract_y
_atom_site_fract_z
Cu1 0.000 0.000 0.000
Te1 0.000 0.000 0.608
Te2 0.000 0.500 0.176
Au1 0.000 0.500 0.817
```